one) VASP calculation (GGA-PBEsol) on crystalline Mn5Ni at its relaxed geometry.

Volume   63.94 Å³/cell
Space group   Cmmm (65)

Unit cell a=3.503 b=3.449 c=5.575 alpha=90.00 beta=108.31 gamma=90.00
Fractional positions:
Mn1 0.837 0.000 0.675
Mn2 0.163 0.000 0.325
Mn3 0.665 0.500 0.330
Mn4 0.335 0.500 0.670
Mn5 0.000 0.500 0.000
Ni1 0.500 0.000 0.000

=====

two) VASP calculation (GGA-PBEsol) on crystalline Mn5Ni at its relaxed geometry.

Volume   61.56 Å³/cell
Space group   Cm (8)

Unit cell a=2.445 b=4.629 c=5.816 alpha=103.69 beta=90.00 gamma=105.31
Fractional positions:
Ni1 0.722 0.445 0.944
Mn1 0.056 0.112 0.609
Mn2 0.334 0.667 0.664
Mn3 0.667 0.334 0.332
Mn4 0.000 0.000 0.000
Mn5 0.388 0.776 0.285

=====

one) comes first in stability; the runner-up is 6 meV/atom higher.

=====

one) VASP calculation (GGA-PBEsol) on crystalline Mn5Ni at its relaxed geometry.

Volume   61.52 Å³/cell
Space group   Amm2 (38)

Unit cell a=2.439 b=3.921 c=6.548 alpha=90.00 beta=100.73 gamma=90.00
Fractional positions:
Mn1 0.664 0.000 0.329
Mn2 0.558 0.500 0.116
Mn3 0.224 0.500 0.448
Mn4 0.000 0.000 0.001
Mn5 0.331 0.000 0.663
Ni1 0.889 0.500 0.777

=====

two) VASP calculation (GGA-PBEsol) on crystalline Mn5Ni at its relaxed geometry.

Volume   61.45 Å³/cell
Space group   P-62m (189)

Unit cell a=3.910 b=4.260 c=4.260 alpha=120.00 beta=90.00 gamma=90.00
Fractional positions:
Mn1 0.500 0.667 0.333
Mn2 0.500 0.333 0.667
Mn3 0.000 0.666 0.000
Mn4 0.000 0.334 0.334
Mn5 0.000 0.000 0.666
Ni1 0.500 0.000 0.000

=====

two) comes first in stability; the runner-up is 14 meV/atom higher.

=====

one) VASP calculation (GGA-PBEsol) on crystalline MnNiP2O8 at its relaxed geometry.

Volume   251.30 Å³/cell
Space group   P2_1/m (11)

Unit cell a=4.653 b=5.593 c=9.656 alpha=90.00 beta=89.76 gamma=90.00
Fractional positions:
P1 0.891 0.250 0.908
P2 0.592 0.250 0.413
P3 0.408 0.750 0.587
P4 0.109 0.750 0.092
O1 0.730 0.041 0.828
O2 0.255 0.966 0.665
O3 0.745 0.466 0.335
O4 0.216 0.250 0.879
O5 0.270 0.250 0.400
O6 0.784 0.750 0.121
O7 0.833 0.250 0.061
O8 0.680 0.250 0.566
O9 0.730 0.750 0.600
O10 0.167 0.750 0.939
O11 0.320 0.750 0.434
O12 0.745 0.034 0.335
O13 0.255 0.534 0.665
O14 0.270 0.959 0.172
O15 0.270 0.541 0.172
O16 0.730 0.459 0.828
Mn1 0.542 0.750 0.273
Mn2 0.458 0.250 0.727
Ni1 0.950 0.750 0.767
Ni2 0.050 0.250 0.233

=====

two) VASP calculation (GGA-PBEsol) on crystalline MnNiP2O8 at its relaxed geometry.

Volume   408.33 Å³/cell
Space group   R3 (146)

Unit cell a=8.252 b=8.252 c=8.252 alpha=61.23 beta=61.23 gamma=61.23
Fractional positions:
O1 0.937 0.747 0.087
O2 0.182 0.989 0.383
O3 0.682 0.885 0.489
O4 0.412 0.752 0.556
O5 0.747 0.087 0.937
O6 0.448 0.591 0.248
O7 0.989 0.383 0.182
O8 0.623 0.819 0.999
O9 0.256 0.914 0.057
O10 0.248 0.448 0.591
O11 0.383 0.182 0.989
O12 0.087 0.937 0.747
O13 0.513 0.314 0.116
O14 0.591 0.248 0.448
O15 0.914 0.057 0.256
O16 0.116 0.513 0.314
O17 0.556 0.412 0.752
O18 0.314 0.116 0.513
O19 0.057 0.256 0.914
O20 0.819 0.999 0.623
O21 0.489 0.682 0.885
O22 0.752 0.556 0.412
O23 0.999 0.623 0.819
O24 0.885 0.489 0.682
Ni1 0.360 0.360 0.360
Ni2 0.641 0.641 0.641
Ni3 0.141 0.141 0.141
Mn1 0.501 0.501 0.501
Mn2 0.001 0.001 0.001
Mn3 0.859 0.859 0.859
P1 0.538 0.250 0.961
P2 0.461 0.750 0.040
P3 0.750 0.040 0.461
P4 0.250 0.961 0.538
P5 0.961 0.538 0.250
P6 0.040 0.461 0.750

=====

one) comes first in stability; the runner-up is 65 meV/atom higher.

=====

one) VASP calculation (GGA-PBEsol) on crystalline MnNi2Os at its relaxed geometry.

Volume   45.55 Å³/cell
Space group   I-4m2 (119)

Unit cell a=3.583 b=3.583 c=4.360 alpha=114.26 beta=114.26 gamma=90.00
Fractional positions:
Ni1 0.750 0.250 0.500
Ni2 0.500 0.500 0.000
Os1 0.000 0.000 0.000
Mn1 0.250 0.750 0.500

=====

two) VASP calculation (GGA-PBEsol) on crystalline MnNi2Os at its relaxed geometry.

Volume   46.89 Å³/cell
Space group   P4/mmm (123)

Unit cell a=3.011 b=3.011 c=5.171 alpha=90.00 beta=90.00 gamma=90.00
Fractional positions:
Mn1 0.500 0.500 0.500
Ni1 0.000 0.000 0.739
Ni2 0.000 0.000 0.261
Os1 0.500 0.500 0.000

=====

three) VASP calculation (GGA-PBEsol) on crystalline MnNi2Os at its relaxed geometry.

Volume   47.14 Å³/cell
Space group   R-3m (166)

Unit cell a=2.578 b=2.578 c=8.327 alpha=81.10 beta=81.10 gamma=60.00
Fractional positions:
Mn1 0.000 0.000 0.000
Ni1 0.748 0.748 0.756
Ni2 0.252 0.252 0.244
Os1 0.500 0.500 0.500

=====

one) comes first in stability; the runner-up is 164 meV/atom higher.

=====

one) VASP calculation (GGA-PBEsol) on crystalline MnNiOs2 at its relaxed geometry.

Volume   49.51 Å³/cell
Space group   I4/mmm (139)

Unit cell a=3.704 b=3.704 c=4.459 alpha=114.55 beta=114.55 gamma=90.00
Fractional positions:
Os1 0.750 0.250 0.500
Os2 0.250 0.750 0.500
Ni1 0.000 0.000 0.000
Mn1 0.500 0.500 0.000

=====

two) VASP calculation (GGA-PBEsol) on crystalline MnNiOs2 at its relaxed geometry.

Volume   52.31 Å³/cell
Space group   Cmm2 (35)

Unit cell a=2.614 b=2.614 c=8.545 alpha=90.00 beta=90.00 gamma=116.34
Fractional positions:
Os1 0.000 0.000 0.010
Os2 0.500 0.500 0.738
Ni1 0.500 0.500 0.260
Mn1 0.000 0.000 0.491

=====

one) comes first in stability; the runner-up is 327 meV/atom higher.

=====

one) VASP calculation (GGA-PBEsol) on crystalline MnReNi at its relaxed geometry.

Volume   36.37 Å³/cell
Space group   P3m1 (156)

Unit cell a=2.603 b=2.603 c=6.200 alpha=90.00 beta=90.00 gamma=120.00
Fractional positions:
Mn1 0.000 0.000 0.995
Re1 0.667 0.333 0.328
Ni1 0.333 0.667 0.677

=====

two) VASP calculation (GGA-PBEsol) on crystalline MnReNi at its relaxed geometry.

Volume   42.50 Å³/cell
Space group   F-43m (216)

Unit cell a=3.917 b=3.917 c=3.917 alpha=60.00 beta=60.00 gamma=60.00
Fractional positions:
Ni1 0.500 0.500 0.500
Mn1 0.000 0.000 0.000
Re1 0.250 0.250 0.250

=====

one) comes first in stability; the runner-up is 554 meV/atom higher.

=====

one) VASP calculation (GGA-PBEsol) on crystalline MnNiSb2 at its relaxed geometry.

Volume   70.39 Å³/cell
Space group   I-4m2 (119)

Unit cell a=3.824 b=3.824 c=5.521 alpha=110.26 beta=110.26 gamma=90.00
Fractional positions:
Sb1 0.750 0.250 0.500
Sb2 0.000 0.000 0.000
Mn1 0.500 0.500 0.000
Ni1 0.250 0.750 0.500

=====

two) VASP calculation (GGA-PBEsol) on crystalline MnNiSb2 at its relaxed geometry.

Volume   73.85 Å³/cell
Space group   C2/m (12)

Unit cell a=3.602 b=4.108 c=5.790 alpha=104.76 beta=90.00 gamma=116.00
Fractional positions:
Sb1 0.244 0.488 0.231
Sb2 0.756 0.512 0.769
Ni1 0.500 0.000 0.000
Mn1 0.000 0.000 0.500

=====

two) comes first in stability; the runner-up is 82 meV/atom higher.

=====

one) VASP calculation (GGA-PBEsol) on crystalline MnNiSe2 at its relaxed geometry.

Volume   58.16 Å³/cell
Space group   Fm-3m (225)

Unit cell a=4.349 b=4.349 c=4.349 alpha=60.00 beta=60.00 gamma=60.00
Fractional positions:
Se1 0.250 0.250 0.250
Se2 0.750 0.750 0.750
Mn1 0.000 0.000 0.000
Ni1 0.500 0.500 0.500

=====

two) VASP calculation (GGA-PBEsol) on crystalline MnNiSe2 at its relaxed geometry.

Volume   57.48 Å³/cell
Space group   P4/mmm (123)

Unit cell a=3.127 b=4.287 c=4.287 alpha=90.00 beta=90.00 gamma=90.00
Fractional positions:
Se1 0.000 0.500 0.000
Se2 0.000 0.000 0.500
Mn1 0.500 0.500 0.500
Ni1 0.500 0.000 0.000

=====

three) VASP calculation (GGA-PBEsol) on crystalline MnNiSe2 at its relaxed geometry.

Volume   71.40 Å³/cell
Space group   Pm (6)

Unit cell a=3.626 b=3.625 c=5.432 alpha=90.00 beta=89.91 gamma=90.00
Fractional positions:
Mn1 0.625 0.000 0.625
Se1 0.124 0.000 0.887
Se2 0.626 0.500 0.363
Ni1 0.125 0.500 0.625

=====

three) comes first in stability; the runner-up is 373 meV/atom higher.